A plane-wave DFT calculation with PBE was carried out for an optimized crystal structure of HfTi3N2.

Lattice parameters (Å, degrees): 3.120 6.616 10.240 127.52 90.00 103.64
Sites, in units of the cell vectors:
Hf 0.882 0.765 0.063
Hf 0.118 0.235 0.937
Ti 0.361 0.723 0.788
Ti 0.876 0.751 0.566
Ti 0.630 0.260 0.695
Ti 0.370 0.740 0.305
Ti 0.124 0.249 0.434
Ti 0.639 0.277 0.212
N 0.497 0.993 0.740
N 0.503 0.007 0.260
N 0.753 0.505 0.133
N 0.247 0.495 0.867

Results
Its total moment is 0.0 μB/cell. The calculation puts the energy at -9.59 eV/atom. Its offset from the most stable computed form is 1.03 kcal/mol of atoms. Its volume is 13.3 Å³ per atom. As for the symmetry: C2/m, No. 12. Its density is 7.26 g/cm3.

---

A plane-wave DFT calculation with PBE was carried out for an optimized crystal structure of NdSiRu.

Lattice parameters (Å, degrees): 4.303 4.120 4.120 120.00 90.00 90.00
Sites, in units of the cell vectors:
Ru 0.167 0.333 0.667
Si 0.167 0.000 0.000
Nd 0.666 0.667 0.333

Results
Its total moment is 0.0 μB/cell. The calculation puts the energy at -7.07 eV/atom. Its volume is 21.1 Å³ per atom. As for the symmetry: P-6m2, No. 187. Its density is 7.18 g/cm3.

---

A plane-wave DFT calculation with PBE was carried out for an optimized crystal structure of Ce2Dy6Er3Th.

Lattice parameters (Å, degrees): 6.101 6.101 11.685 95.00 95.00 119.99
Site moments in Bohr magnetons follow the coordinates.
Sites, in units of the cell vectors:
Ce 0.333 0.667 0.000  -0.48
Ce 0.667 0.333 0.000  -0.48
Dy 0.917 0.584 0.752  0.00
Dy 0.751 0.751 0.248  0.00
Dy 0.083 0.416 0.248  0.00
Dy 0.584 0.917 0.752  0.00
Dy 0.249 0.249 0.752  0.00
Dy 0.416 0.083 0.248  0.00
Er 0.167 0.833 0.500  0.01
Er 0.833 0.167 0.500  0.01
Er 0.500 0.500 0.500  0.01
Th 0.000 0.000 0.000  -0.02

Results
Its total moment is 1.2 μB/cell. The calculation puts the energy at -5.01 eV/atom. Its volume is 30.9 Å³ per atom. As for the symmetry: C2/m, No. 12. Its density is 8.90 g/cm3.

---

A plane-wave DFT calculation with PBE was carried out for an optimized crystal structure of KSr3Cd.

Lattice parameters (Å, degrees): 7.151 7.151 7.151 90.00 90.00 90.00
Sites, in units of the cell vectors:
Sr 0.000 0.500 0.000
Sr 0.000 0.000 0.500
Sr 0.500 0.000 0.000
K 0.000 0.000 0.000
Cd 0.500 0.500 0.500

Results
Its total moment is 0.0 μB/cell. The calculation puts the energy at -0.69 eV/atom. Its offset from the most stable computed form is 17.15 kcal/mol of atoms. Its volume is 73.1 Å³ per atom. As for the symmetry: Pm-3m, No. 221. Its density is 1.88 g/cm3.